# Y2ZnSb | Alexandria via LeMat-Bulk | PBE | relaxed
data_Y2ZnSb
_chemical_formula_sum 'Y2 Zn1 Sb1'
_space_group_name_H-M_alt 'P 1'
_space_group_IT_number 1
_cell_length_a 4.272
_cell_length_b 4.272
_cell_length_c 7.513
_cell_angle_alpha 106.60
_cell_angle_beta 106.60
_cell_angle_gamma 60.14
loop_
_space_group_symop_operation_xyz
'x,y,z'
loop_
_atom_site_label
_atom_site_type_symbol
_atom_site_fract_x
_atom_site_fract_y
_atom_site_fract_z
Y1 Y 0.250 0.250 0.250
Y2 Y 0.750 0.750 0.750
Zn1 Zn 0.000 0.000 0.500
Sb1 Sb 0.500 0.500 0.000
# - M_tot: 0.000 μB per cell
# - Relative energy among the computed polymorphs: 0.162 eV/atom
# - Mass density: 5.4 Mg/m³
# - Crystal system: monoclinic
# - Energy relative to the elements, uncorrected: -0.578 eV/atom
# - E_tot: -5.159 eV per atom